(1)
This record from Alexandria describes a relaxed structure of Ac3YCd4. The functional is PBE.

abc: 3.9750 3.9750 16.1477
angles: 90.00 90.00 90.00
Last column: nearest neighbours and their distance in Å.
Fractional coordinates of all 8 atoms:
Cd 0.0000 0.0000 0.6294  8 Ac 3.50-3.53
Cd 0.0000 0.0000 0.1031  4 Y 3.27, 1 Cd 3.33, 4 Ac 3.56
Cd 0.0000 0.0000 0.8969  4 Y 3.27, 1 Cd 3.33, 4 Ac 3.56
Cd 0.0000 0.0000 0.3706  8 Ac 3.50-3.53
Ac 0.5000 0.5000 0.7613  8 Cd 3.53-3.56, 1 Y 3.85
Ac 0.5000 0.5000 0.2387  8 Cd 3.53-3.56, 1 Y 3.85
Ac 0.5000 0.5000 0.5000  8 Cd 3.50
Y 0.5000 0.5000 0.0000  8 Cd 3.27

Summary:
formation energy = -0.291 eV/atom
size of the total moment = 0.24 μB/f.u.
symmetry = P4/mmm, No. 123

(2)
This record from Alexandria describes a relaxed structure of AcYCd4. The functional is PBE.

abc: 3.6192 5.0920 9.5496
angles: 90.00 67.95 90.00
Last column: nearest neighbours and their distance in Å.
Fractional coordinates of all 6 atoms:
Cd 0.1796 0.9973 0.8188  3 Cd 2.92-3.17
Cd 0.6633 0.4973 0.3401  3 Cd 2.80-2.92
Cd 0.3392 0.4974 0.6563  3 Cd 2.80-2.92
Cd 0.8231 0.9973 0.1774  3 Cd 2.92-3.17
Ac 0.5013 0.4973 0.9981  12 Cd 3.50-3.53, 2 Ac 3.62
Y 0.0013 0.9972 0.4981  12 Cd 3.36-3.43, 2 Y 3.62

Summary:
formation energy = -0.314 eV/atom
size of the total moment = 0.00 μB/f.u.
symmetry = P2/m, No. 10

(3)
This record from Alexandria describes a relaxed structure of AcY2Cd9. The functional is PBE.

abc: 6.0354 6.0354 10.1604
angles: 72.72 72.72 60.00
Last column: nearest neighbours and their distance in Å.
Fractional coordinates of all 12 atoms:
Cd 0.5910 0.5910 0.7410  7 Cd 2.91-3.10
Cd 0.3355 0.3355 0.9934  6 Cd 3.00-3.05
Cd 0.4090 0.9229 0.2590  7 Cd 2.91-3.10
Cd 0.9229 0.4090 0.2590  7 Cd 2.91-3.10
Cd 0.5000 0.5000 0.5000  6 Cd 2.91
Cd 0.0771 0.5910 0.7410  7 Cd 2.91-3.10
Cd 0.4090 0.4090 0.2590  7 Cd 2.91-3.10
Cd 0.6645 0.6645 0.0066  6 Cd 3.00-3.05
Cd 0.5910 0.0771 0.7410  7 Cd 2.91-3.10
Ac 0.0000 0.0000 0.0000  18 Cd 3.49-3.90
Y 0.1435 0.1435 0.5696  12 Cd 3.41-3.55, 3 Y 3.73
Y 0.8565 0.8565 0.4304  12 Cd 3.41-3.55, 3 Y 3.73

Summary:
formation energy = -0.264 eV/atom
size of the total moment = 0.00 μB/f.u.
symmetry = R-3m, No. 166

(4)
This record from Alexandria describes a relaxed structure of AcYCd2. The functional is PBE.

abc: 3.8583 3.8583 8.0412
angles: 90.00 90.00 90.00
Last column: nearest neighbours and their distance in Å.
Fractional coordinates of all 4 atoms:
Ac 0.5000 0.5000 0.5000  8 Cd 3.56, 4 Ac 3.86
Y 0.5000 0.5000 0.0000  8 Cd 3.23
Cd 0.0000 0.0000 0.2155  4 Y 3.23, 1 Cd 3.47, 4 Ac 3.56
Cd 0.0000 0.0000 0.7845  4 Y 3.23, 1 Cd 3.47, 4 Ac 3.56

Summary:
formation energy = -0.305 eV/atom
size of the total moment = 0.00 μB/f.u.
symmetry = P4/mmm, No. 123

(5)
This record from Alexandria describes a relaxed structure of AcY2Cd6. The functional is PBE.

abc: 3.5817 8.7448 8.7448
angles: 120.00 90.00 90.00
Last column: nearest neighbours and their distance in Å.
Fractional coordinates of all 9 atoms:
Y 0.0000 0.6667 0.3333  12 Cd 3.40, 2 Y 3.58
Y 0.0000 0.3333 0.6667  12 Cd 3.40, 2 Y 3.58
Cd 0.5000 0.3398 0.0000  3 Cd 2.80-2.97
Cd 0.5000 0.0000 0.3398  3 Cd 2.80-2.97
Cd 0.5000 0.0000 0.6602  3 Cd 2.80-2.97
Cd 0.5000 0.3398 0.3398  3 Cd 2.80-2.97
Cd 0.5000 0.6602 0.6602  3 Cd 2.80-2.97
Cd 0.5000 0.6602 0.0000  3 Cd 2.80-2.97
Ac 0.0000 0.0000 0.0000  12 Cd 3.47, 2 Ac 3.58

Summary:
formation energy = -0.312 eV/atom
size of the total moment = 0.00 μB/f.u.
symmetry = P6/mmm, No. 191

(6)
This record from Alexandria describes a relaxed structure of Ac2YCd. The functional is PBE.

abc: 3.7790 3.7790 13.1179
angles: 81.72 81.72 60.00
Last column: nearest neighbours and their distance in Å.
Fractional coordinates of all 4 atoms:
Ac 0.9104 0.9104 0.2687  1 Cd 3.48, 3 Y 3.70, 6 Ac 3.78
Ac 0.0896 0.0896 0.7313  1 Cd 3.48, 3 Y 3.70, 6 Ac 3.78
Cd 0.0000 0.0000 0.0000  2 Ac 3.48, 6 Cd 3.78
Y 0.5000 0.5000 0.5000  6 Ac 3.70, 6 Y 3.78

Summary:
formation energy = 0.193 eV/atom
size of the total moment = 0.00 μB/f.u.
symmetry = R-3m, No. 166

(7)
This record from Alexandria describes a relaxed structure of AcYCd6. The functional is PBE.

abc: 4.8908 6.3785 6.7651
angles: 90.00 90.00 90.00
Last column: nearest neighbours and their distance in Å.
Fractional coordinates of all 8 atoms:
Y 0.5000 0.3949 0.5000  10 Cd 3.21-3.54
Cd 0.5000 0.2334 0.0000  6 Cd 2.99-3.10
Cd 0.5000 0.8651 0.7274  6 Cd 2.99-3.08
Cd 0.5000 0.8651 0.2726  6 Cd 2.99-3.08
Cd 0.0000 0.1521 0.2715  6 Cd 3.05-3.15, 2 Y 3.28
Cd 0.0000 0.7209 0.5000  6 Cd 3.03-3.15, 2 Y 3.21
Cd 0.0000 0.1521 0.7285  6 Cd 3.05-3.15, 2 Y 3.28
Ac 0.0000 0.6166 0.0000  10 Cd 3.45-3.49

Summary:
formation energy = -0.257 eV/atom
size of the total moment = 0.00 μB/f.u.
symmetry = Pmm2, No. 25

(8)
This record from Alexandria describes a relaxed structure of Ac5YCd6. The functional is PBE.

abc: 5.6740 8.0521 9.8652
angles: 65.91 73.29 90.00
Last column: nearest neighbours and their distance in Å.
Fractional coordinates of all 12 atoms:
Cd 0.1587 0.9232 0.6837  1 Y 3.30, 7 Ac 3.42-3.60
Cd 0.5000 0.7784 0.0000  2 Y 3.35, 6 Ac 3.45-3.62, 1 Cd 3.57
Cd 0.8413 0.0768 0.3163  1 Y 3.30, 7 Ac 3.42-3.60
Cd 0.5000 0.2216 0.0000  2 Y 3.35, 6 Ac 3.45-3.62, 1 Cd 3.57
Cd 0.8412 0.6068 0.3164  1 Y 3.30, 7 Ac 3.42-3.60
Cd 0.1588 0.3932 0.6836  1 Y 3.30, 7 Ac 3.42-3.60
Ac 0.6731 0.1726 0.6548  8 Cd 3.42-3.60
Ac 0.6642 0.6639 0.6722  8 Cd 3.55-3.59
Ac 0.3269 0.8274 0.3452  8 Cd 3.42-3.60
Ac 0.0000 0.5000 0.0000  8 Cd 3.44-3.62
Ac 0.3358 0.3361 0.3278  8 Cd 3.55-3.59
Y 0.0000 0.0000 0.0000  8 Cd 3.30-3.35

Summary:
formation energy = -0.287 eV/atom
size of the total moment = 0.00 μB/f.u.
symmetry = Immm, No. 71

(9)
This record from Alexandria describes a relaxed structure of AcYCd4. The functional is PBE.

abc: 6.0760 6.0760 6.0760
angles: 60.00 60.00 60.00
Last column: nearest neighbours and their distance in Å.
Fractional coordinates of all 6 atoms:
Cd 0.6257 0.6257 0.1230  6 Cd 3.02-3.05
Cd 0.6257 0.1230 0.6257  6 Cd 3.02-3.05
Cd 0.1230 0.6257 0.6257  6 Cd 3.02-3.05
Cd 0.6257 0.6257 0.6257  6 Cd 3.02-3.05
Y 0.0000 0.0000 0.0000  12 Cd 3.56, 4 Ac 3.72
Ac 0.2500 0.2500 0.2500  12 Cd 3.56, 4 Y 3.72

Summary:
formation energy = -0.279 eV/atom
size of the total moment = 0.00 μB/f.u.
symmetry = F-43m, No. 216

(10)
This record from Alexandria describes a relaxed structure of AcYCd. The functional is PBE.

abc: 4.8759 4.8759 8.7423
angles: 90.00 90.00 90.00
Last column: nearest neighbours and their distance in Å.
Fractional coordinates of all 6 atoms:
Y 0.5000 0.0000 0.2142  4 Cd 3.07
Y 0.0000 0.5000 0.7858  4 Cd 3.07
Cd 0.0000 0.0000 0.0000  4 Y 3.07
Cd 0.5000 0.5000 0.0000  4 Y 3.07
Ac 0.0000 0.5000 0.3445  5 Y 3.63-3.86, 4 Cd 3.87
Ac 0.5000 0.0000 0.6555  5 Y 3.63-3.86, 4 Cd 3.87

Summary:
formation energy = 0.004 eV/atom
size of the total moment = 0.00 μB/f.u.
symmetry = P4/nmm, No. 129

(11)
This record from Alexandria describes a relaxed structure of AcYZnCd. The functional is PBE.

abc: 3.7701 3.7701 7.8823
angles: 90.00 90.00 90.00
Last column: nearest neighbours and their distance in Å.
Fractional coordinates of all 4 atoms:
Y 0.5000 0.5000 0.5894  4 Zn 3.08, 4 Cd 3.24
Cd 0.0000 0.0000 0.8231  4 Y 3.24, 1 Zn 3.39, 4 Ac 3.56
Ac 0.5000 0.5000 0.1226  4 Zn 3.41, 4 Cd 3.56, 1 Y 3.68, 4 Ac 3.77
Zn 0.0000 0.0000 0.3930  4 Y 3.08, 1 Cd 3.39, 4 Ac 3.41

Summary:
formation energy = -0.292 eV/atom
size of the total moment = 0.00 μB/f.u.
symmetry = P4mm, No. 99

(12)
This record from Alexandria describes a relaxed structure of AcYZnCd. The functional is PBE.

abc: 5.4499 5.4499 5.4499
angles: 60.00 60.00 60.00
Last column: nearest neighbours and their distance in Å.
Fractional coordinates of all 4 atoms:
Ac 0.2500 0.2500 0.2500  4 Cd 3.34, 4 Zn 3.34
Cd 0.0000 0.0000 0.0000  4 Y 3.34, 4 Ac 3.34
Y 0.7500 0.7500 0.7500  4 Cd 3.34, 4 Zn 3.34
Zn 0.5000 0.5000 0.5000  4 Ac 3.34, 4 Y 3.34

Summary:
formation energy = -0.242 eV/atom
size of the total moment = 0.37 μB/f.u.
symmetry = F-43m, No. 216

(13)
This record from Alexandria describes a relaxed structure of Ac5ZnCd4. The functional is PBE.

abc: 4.0326 4.0326 20.3288
angles: 90.00 90.00 90.00
Last column: nearest neighbours and their distance in Å.
Fractional coordinates of all 10 atoms:
Ac 0.5000 0.5000 0.2970  8 Cd 3.52-3.53
Ac 0.5000 0.5000 0.5000  8 Cd 3.52
Ac 0.5000 0.5000 0.0913  4 Zn 3.40, 4 Cd 3.54, 1 Ac 3.71
Ac 0.5000 0.5000 0.7030  8 Cd 3.52-3.53
Ac 0.5000 0.5000 0.9087  4 Zn 3.40, 4 Cd 3.54, 1 Ac 3.71
Cd 0.0000 0.0000 0.6013  8 Ac 3.52
Cd 0.0000 0.0000 0.1945  8 Ac 3.53-3.54, 1 Zn 3.95
Cd 0.0000 0.0000 0.3987  8 Ac 3.52
Cd 0.0000 0.0000 0.8055  8 Ac 3.53-3.54, 1 Zn 3.95
Zn 0.0000 0.0000 0.0000  8 Ac 3.40

Summary:
formation energy = -0.283 eV/atom
size of the total moment = 0.01 μB/f.u.
symmetry = P4/mmm, No. 123

(14)
This record from Alexandria describes a relaxed structure of Ac3Zn2Cd2. The functional is PBE.

abc: 6.3003 6.3086 8.8936
angles: 95.99 114.22 129.73
Last column: nearest neighbours and their distance in Å.
Fractional coordinates of all 7 atoms:
Cd 0.0919 0.4161 0.7552  3 Zn 3.03-3.23
Cd 0.9081 0.5839 0.2448  3 Zn 3.03-3.23
Ac 0.3707 0.0691 0.7220  3 Zn 3.25-3.31, 4 Cd 3.40-3.63
Ac 0.6293 0.9309 0.2780  3 Zn 3.25-3.31, 4 Cd 3.40-3.63
Ac 0.0000 0.0000 0.0000  2 Zn 3.20, 4 Cd 3.49-3.50
Zn 0.5572 0.3496 0.4568  1 Zn 2.57
Zn 0.4428 0.6504 0.5432  1 Zn 2.57

Summary:
formation energy = -0.232 eV/atom
size of the total moment = 0.00 μB/f.u.
symmetry = P-1, No. 2

(15)
This record from Alexandria describes a relaxed structure of Ac2ZnCd16. The functional is PBE.

abc: 7.7420 7.7420 7.7420
angles: 82.63 82.63 82.63
Last column: nearest neighbours and their distance in Å.
Fractional coordinates of all 19 atoms:
Cd 0.6405 0.1709 0.6405  8 Cd 2.90-3.18
Cd 0.1709 0.6405 0.6405  8 Cd 2.90-3.18
Cd 0.3524 0.3524 0.8499  8 Cd 2.90-3.18
Cd 0.8499 0.3524 0.3524  8 Cd 2.90-3.18
Cd 0.2953 0.7056 0.0004  8 Cd 2.94-3.18
Cd 0.9923 0.5141 0.9923  9 Cd 2.94-3.27, 1 Zn 2.99
Cd 0.3524 0.8499 0.3524  8 Cd 2.90-3.18
Cd 0.0004 0.7056 0.2953  8 Cd 2.94-3.18
Cd 0.5141 0.9923 0.9923  9 Cd 2.94-3.27, 1 Zn 2.99
Cd 0.9923 0.9923 0.5141  9 Cd 2.94-3.27, 1 Zn 2.99
Cd 0.0929 0.0929 0.0929  1 Zn 2.93, 6 Cd 3.27
Cd 0.2953 0.0004 0.7056  8 Cd 2.94-3.18
Cd 0.7056 0.2953 0.0004  8 Cd 2.94-3.18
Cd 0.6405 0.6405 0.1709  8 Cd 2.90-3.18
Cd 0.7056 0.0004 0.2953  8 Cd 2.94-3.18
Cd 0.0004 0.2953 0.7056  8 Cd 2.94-3.18
Zn 0.8982 0.8982 0.8982  4 Cd 2.93-2.99
Ac 0.6684 0.6684 0.6684  1 Zn 3.45, 15 Cd 3.62-3.85
Ac 0.3326 0.3326 0.3326  16 Cd 3.59-3.97

Summary:
formation energy = -0.175 eV/atom
size of the total moment = 0.00 μB/f.u.
symmetry = R3m, No. 160

(16)
This record from Alexandria describes a relaxed structure of Ac3Zn3Cd. The functional is PBE.

abc: 4.9143 6.1175 15.0367
angles: 86.13 80.60 66.32
Last column: nearest neighbours and their distance in Å.
Fractional coordinates of all 14 atoms:
Zn 0.1244 0.2922 0.4590  1 Zn 2.63, 2 Cd 2.82
Zn 0.8756 0.7078 0.5410  1 Zn 2.63, 2 Cd 2.82
Zn 0.9032 0.1176 0.0760  2 Zn 2.61-2.63
Zn 0.9504 0.8722 0.2270  1 Zn 2.63, 1 Cd 2.85
Zn 0.0968 0.8824 0.9240  2 Zn 2.61-2.63
Zn 0.0496 0.1278 0.7730  1 Zn 2.63, 1 Cd 2.85
Ac 0.2448 0.2854 0.2250  6 Zn 3.29-3.47
Ac 0.7552 0.7146 0.7750  6 Zn 3.29-3.47
Ac 0.6080 0.7088 0.0751  7 Zn 3.31-3.46
Ac 0.3920 0.2912 0.9249  7 Zn 3.31-3.46
Ac 0.5434 0.2944 0.6188  4 Cd 3.33-3.45, 7 Zn 3.41-3.57
Ac 0.4566 0.7056 0.3812  4 Cd 3.33-3.45, 7 Zn 3.41-3.57
Cd 0.7486 0.1049 0.3979  4 Zn 2.82-3.07
Cd 0.2514 0.8951 0.6021  4 Zn 2.82-3.07

Summary:
formation energy = -0.246 eV/atom
size of the total moment = 0.00 μB/f.u.
symmetry = C2/m, No. 12

(17)
This record from Alexandria describes a relaxed structure of Ac3Zn4Cd2. The functional is PBE.

abc: 4.8958 6.2551 9.2832
angles: 110.23 90.00 113.04
Last column: nearest neighbours and their distance in Å.
Fractional coordinates of all 9 atoms:
Cd 0.6190 0.2379 0.2852  3 Zn 2.85-2.86
Cd 0.3810 0.7621 0.7148  3 Zn 2.85-2.86
Ac 0.3363 0.6726 0.3261  8 Zn 3.31-3.49, 4 Cd 3.41-3.45
Ac 0.6637 0.3274 0.6739  8 Zn 3.31-3.49, 4 Cd 3.41-3.45
Ac 0.0000 0.0000 0.0000  8 Zn 3.38-3.51, 4 Cd 3.49
Zn 0.2751 0.5502 0.9481  2 Zn 2.77, 1 Cd 2.86
Zn 0.7249 0.4498 0.0519  2 Zn 2.77, 1 Cd 2.86
Zn 0.9399 0.8797 0.6005  1 Zn 2.71, 2 Cd 2.85
Zn 0.0601 0.1203 0.3995  1 Zn 2.71, 2 Cd 2.85

Summary:
formation energy = -0.284 eV/atom
size of the total moment = 0.00 μB/f.u.
symmetry = C2/m, No. 12

(18)
This record from Alexandria describes a relaxed structure of Ac2ZnCd. The functional is PBE.

abc: 3.8418 3.8418 11.9557
angles: 80.75 80.75 60.00
Last column: nearest neighbours and their distance in Å.
Fractional coordinates of all 4 atoms:
Zn 0.5000 0.5000 0.5000  6 Ac 3.23
Ac 0.9001 0.9001 0.2998  3 Zn 3.23, 1 Cd 3.52
Ac 0.0999 0.0999 0.7002  3 Zn 3.23, 1 Cd 3.52
Cd 0.0000 0.0000 0.0000  2 Ac 3.52, 6 Cd 3.84

Summary:
formation energy = 0.142 eV/atom
size of the total moment = 0.00 μB/f.u.
symmetry = R-3m, No. 166

(19)
This record from Alexandria describes a relaxed structure of AcZn2Cd2. The functional is PBE.

abc: 4.5523 4.5523 6.6207
angles: 110.11 110.11 90.00
Last column: nearest neighbours and their distance in Å.
Fractional coordinates of all 5 atoms:
Zn 0.6091 0.6091 0.2182  1 Zn 2.52, 4 Cd 2.80
Zn 0.3909 0.3909 0.7818  1 Zn 2.52, 4 Cd 2.80
Cd 0.2500 0.7500 0.5000  4 Zn 2.80
Cd 0.7500 0.2500 0.5000  4 Zn 2.80
Ac 0.0000 0.0000 0.0000  8 Zn 3.46, 8 Cd 3.68

Summary:
formation energy = -0.281 eV/atom
size of the total moment = 0.00 μB/f.u.
symmetry = I4/mmm, No. 139

(20)
This record from Alexandria describes a relaxed structure of Ac2ZnCd. The functional is PBE.

abc: 5.6511 5.6511 5.6511
angles: 60.00 60.00 60.00
Last column: nearest neighbours and their distance in Å.
Fractional coordinates of all 4 atoms:
Cd 0.0000 0.0000 0.0000  8 Ac 3.46
Zn 0.5000 0.5000 0.5000  8 Ac 3.46
Ac 0.2500 0.2500 0.2500  4 Cd 3.46, 4 Zn 3.46
Ac 0.7500 0.7500 0.7500  4 Cd 3.46, 4 Zn 3.46

Summary:
formation energy = -0.259 eV/atom
size of the total moment = 0.00 μB/f.u.
symmetry = Fm-3m, No. 225